No. 1
This record from the Alexandria database describes crystalline PuCd2HO6 at its relaxed geometry. The functional is PBE.

Energy ... -64.7 eV for the cell shown
Total magnetization ... 1.0 μB per cell
Calculated density ... 6.33 g cm⁻³

abc: 5.186 5.863 6.015
angles: 67.07 64.97 69.09
Space group P1 (No. 1)
Unique sites:
Pu: 0.000 0.000 0.000 (multiplicity 1)
Cd: 0.246 0.275 0.358 (multiplicity 1)
Cd: 0.753 0.757 0.615 (multiplicity 1)
H: 0.624 0.291 0.710 (multiplicity 1)
O: 0.019 0.797 0.813 (multiplicity 1)
O: 0.167 0.682 0.260 (multiplicity 1)
O: 0.391 0.079 0.733 (multiplicity 1)
O: 0.604 0.955 0.240 (multiplicity 1)
O: 0.779 0.343 0.721 (multiplicity 1)
O: 0.977 0.216 0.176 (multiplicity 1)

***

No. 2
This record from the Alexandria database describes crystalline K2CaHfTa at its relaxed geometry. The functional is PBE.

Energy ... -18.7 eV for the cell shown
Fermi-level density of states ... 1.19 states/eV per atom
Total magnetization ... 0.0 μB per cell
Calculated density ... 3.77 g cm⁻³

abc: 6.473 6.473 5.016
angles: 90.00 90.00 90.00
Space group P4/mmm (No. 123)
Unique sites:
K: 0.000 0.500 0.000 (multiplicity 2)
Ca: 0.000 0.000 0.500 (multiplicity 1)
Hf: 0.500 0.500 0.000 (multiplicity 1)
Ta: 0.500 0.500 0.500 (multiplicity 1)

***

No. 3
This record from the Alexandria database describes crystalline Mg2BiRh2 at its relaxed geometry. The functional is PBE.

Energy ... -46.4 eV for the cell shown
Fermi-level density of states ... 0.75 states/eV per atom
Total magnetization ... 0.0 μB per cell
Calculated density ... 8.41 g cm⁻³

abc: 7.428 7.428 3.314
angles: 90.00 90.00 90.00
Space group P4/mbm (No. 127)
Unique sites:
Mg: 0.143 0.357 0.000 (multiplicity 4)
Bi: 0.000 0.000 0.500 (multiplicity 2)
Rh: 0.151 0.651 0.500 (multiplicity 4)

***

No. 4
This record from the Alexandria database describes crystalline PmHoPt2 at its relaxed geometry. The functional is PBE.

Energy ... -104.0 eV for the cell shown
Fermi-level density of states ... 0.86 states/eV per atom
Total magnetization ... 0.0 μB per cell
Relative energy among the computed polymorphs ... 83 meV per atom
Calculated density ... 13.15 g cm⁻³

abc: 7.071 7.071 7.071
angles: 90.00 90.00 90.00
Space group Fm-3m (No. 225)
Unique sites:
Pm: 0.000 0.000 0.000 (multiplicity 4)
Ho: 0.000 0.000 0.500 (multiplicity 4)
Pt: 0.250 0.250 0.250 (multiplicity 8)

***

No. 5
This record from the Alexandria database describes crystalline Li2Ce3Pb3 at its relaxed geometry. The functional is PBE.

Energy ... -70.7 eV for the cell shown
Fermi-level density of states ... 2.24 states/eV per atom
Total magnetization ... 7.1 μB per cell
Calculated density ... 8.43 g cm⁻³

abc: 4.542 4.938 18.550
angles: 90.00 90.00 90.00
Space group Immm (No. 71)
Unique sites:
Li: 0.000 0.000 0.247 (multiplicity 4)
Ce: 0.000 0.000 0.000 (multiplicity 2)
Ce: 0.000 0.500 0.133 (multiplicity 4)
Pb: 0.000 0.000 0.500 (multiplicity 2)
Pb: 0.000 0.500 0.343 (multiplicity 4)

***

No. 6
This record from the Alexandria database describes crystalline Pr3DyTm3Te8 at its relaxed geometry. The functional is PBE.

Raw formation energy ... -133.0 kJ per mole of atoms
Energy ... -234.5 eV for the cell shown
Fermi-level density of states ... 0.46 states/eV per atom
Total magnetization ... 0.0 μB per cell
Calculated density ... 7.28 g cm⁻³

abc: 8.7570 8.7570 21.7594
angles: 90.00 90.00 120.00
Space group R-3m (No. 166, hexagonal axes)
Unique sites:
Pr: 0.0000 0.5000 0.0000 (multiplicity 9)
Dy: 0.0000 0.0000 0.5000 (multiplicity 3)
Tm: 0.0000 0.5000 0.5000 (multiplicity 9)
Te: 0.0000 0.0000 0.2440 (multiplicity 6)
Te: 0.0117 0.5058 0.7532 (multiplicity 18)

***

No. 7
This record from the Alexandria database describes crystalline LaPr3 at its relaxed geometry. The functional is PBE.

Energy ... -19.2 eV for the cell shown
Fermi-level density of states ... 1.76 states/eV per atom
Total magnetization ... 0.0 μB per cell
Calculated density ... 6.42 g cm⁻³

abc: 5.258 5.258 5.258
angles: 90.00 90.00 90.00
Space group Pm-3m (No. 221)
Unique sites:
La: 0.000 0.000 0.000 (multiplicity 1)
Pr: 0.000 0.500 0.500 (multiplicity 3)

***

No. 8
This record from the Alexandria database describes crystalline Na3Tb2SmTe6 at its relaxed geometry. The functional is PBE.

Raw formation energy ... -127.7 kJ per mole of atoms
Energy ... -105.3 eV for the cell shown
Total magnetization ... 0.0 μB per cell
Calculated density ... 5.52 g cm⁻³

abc: 7.729 13.390 7.995
angles: 90.00 108.81 90.00
Space group C2/m (No. 12)
Unique sites:
Na: 0.000 0.000 0.000 (multiplicity 2)
Na: 0.000 0.334 0.000 (multiplicity 4)
Tb: 0.000 0.167 0.500 (multiplicity 4)
Sm: 0.000 0.500 0.500 (multiplicity 2)
Te: 0.241 0.000 0.734 (multiplicity 4)
Te: 0.247 0.331 0.734 (multiplicity 8)

***

No. 9
This record from the Alexandria database describes crystalline Ba2TlOs at its relaxed geometry. The functional is PBE.

Energy ... -29.7 eV for the cell shown
Fermi-level density of states ... 1.16 states/eV per atom
Total magnetization ... 0.0 μB per cell
Relative energy among the computed polymorphs ... 337 meV per atom
Calculated density ... 9.34 g cm⁻³

abc: 5.005 5.005 9.496
angles: 90.00 90.00 90.00
Space group I-4m2 (No. 119)
Unique sites:
Ba: 0.000 0.000 0.000 (multiplicity 2)
Ba: 0.000 0.500 0.250 (multiplicity 2)
Tl: 0.000 0.000 0.500 (multiplicity 2)
Os: 0.000 0.500 0.750 (multiplicity 2)

***

No. 10
This record from the Alexandria database describes crystalline ZrTaAl at its relaxed geometry. The functional is PBE.

Energy ... -24.1 eV for the cell shown
Fermi-level density of states ... 1.54 states/eV per atom
Total magnetization ... 0.0 μB per cell
Relative energy among the computed polymorphs ... 269 meV per atom
Calculated density ... 8.72 g cm⁻³

abc: 4.8128 4.8128 2.8393
angles: 90.00 90.00 120.00
Space group P3m1 (No. 156)
Unique sites:
Zr: 0.0000 0.0000 0.0000 (multiplicity 1)
Ta: 0.6667 0.3333 0.6458 (multiplicity 1)
Al: 0.3333 0.6667 0.3666 (multiplicity 1)

***

No. 11
This record from the Alexandria database describes crystalline TlCuBr2 at its relaxed geometry. The functional is PBE.

Raw formation energy ... -43.9 kJ per mole of atoms
Energy ... -34.9 eV for the cell shown
Total magnetization ... 0.0 μB per cell
Relative energy among the computed polymorphs ... 87 meV per atom
Calculated density ... 5.42 g cm⁻³

abc: 4.1744 4.1744 26.0741
angles: 90.00 90.00 120.00
Space group R3m (No. 160, hexagonal axes)
Unique sites:
Tl: 0.0000 0.0000 0.0000 (multiplicity 3)
Cu: 0.0000 0.0000 0.1074 (multiplicity 3)
Br: 0.0000 0.0000 0.5981 (multiplicity 3)
Br: 0.0000 0.0000 0.7904 (multiplicity 3)

***

No. 12
This record from the Alexandria database describes crystalline RbNp2Te4As at its relaxed geometry. The functional is PBE.

Raw formation energy ... -52.9 kJ per mole of atoms
Energy ... -193.8 eV for the cell shown
Fermi-level density of states ... 2.64 states/eV per atom
Total magnetization ... 30.7 μB per cell
Calculated density ... 6.60 g cm⁻³

abc: 4.347 19.328 13.721
angles: 90.00 90.00 90.00
Space group Cmcm (No. 63)
Unique sites:
Rb: 0.000 0.188 0.250 (multiplicity 4)
Np: 0.000 0.418 0.112 (multiplicity 8)
Te: 0.000 0.000 0.000 (multiplicity 4)
Te: 0.000 0.202 0.590 (multiplicity 8)
Te: 0.000 0.462 0.750 (multiplicity 4)
As: 0.000 0.113 0.750 (multiplicity 4)

***

No. 13
This record from the Alexandria database describes crystalline LiAcAgPd3 at its relaxed geometry. The functional is PBE.

Energy ... -107.8 eV for the cell shown
Fermi-level density of states ... 0.31 states/eV per atom
Total magnetization ... 0.0 μB per cell
Calculated density ... 9.13 g cm⁻³

abc: 5.955 13.184 6.127
angles: 90.00 90.00 90.00
Space group Cmcm (No. 63)
Unique sites:
Li: 0.000 0.085 0.250 (multiplicity 4)
Ac: 0.000 0.320 0.250 (multiplicity 4)
Ag: 0.000 0.352 0.750 (multiplicity 4)
Pd: 0.000 0.141 0.750 (multiplicity 4)
Pd: 0.234 0.500 0.000 (multiplicity 8)

***

No. 14
This record from the Alexandria database describes crystalline CeNd2Ga at its relaxed geometry. The functional is PBE.

Energy ... -55.0 eV for the cell shown
Fermi-level density of states ... 1.92 states/eV per atom
Total magnetization ... 3.1 μB per cell
Relative energy among the computed polymorphs ... 249 meV per atom
Calculated density ... 6.82 g cm⁻³

abc: 3.4958 3.4958 34.3764
angles: 90.00 90.00 120.00
Space group R-3m (No. 166, hexagonal axes)
Unique sites:
Ce: 0.0000 0.0000 0.0000 (multiplicity 3)
Nd: 0.0000 0.0000 0.0993 (multiplicity 6)
Ga: 0.0000 0.0000 0.5000 (multiplicity 3)

***

No. 15
This record from the Alexandria database describes crystalline LiReHg2B at its relaxed geometry. The functional is PBE.

Energy ... -12.3 eV for the cell shown
Fermi-level density of states ... 0.53 states/eV per atom
Total magnetization ... 1.7 μB per cell
Calculated density ... 11.11 g cm⁻³

abc: 4.452 4.452 4.561
angles: 90.00 90.00 90.00
Space group P4/mmm (No. 123)
Unique sites:
Li: 0.000 0.000 0.000 (multiplicity 1)
Re: 0.000 0.000 0.500 (multiplicity 1)
Hg: 0.000 0.500 0.000 (multiplicity 2)
B: 0.500 0.500 0.500 (multiplicity 1)

***

No. 16
This record from the Alexandria database describes crystalline InPb6 at its relaxed geometry. The functional is PBE.

Energy ... -43.7 eV for the cell shown
Fermi-level density of states ... 0.89 states/eV per atom
Total magnetization ... 0.0 μB per cell
Relative energy among the computed polymorphs ... 409 meV per atom
Calculated density ... 7.07 g cm⁻³

abc: 8.607 8.607 8.607
angles: 90.00 90.00 90.00
Space group Im-3m (No. 229)
Unique sites:
In: 0.000 0.000 0.000 (multiplicity 2)
Pb: 0.000 0.250 0.500 (multiplicity 12)

***

No. 17
This record from the Alexandria database describes crystalline TlCo2As at its relaxed geometry. The functional is PBE.

Energy ... -73.2 eV for the cell shown
Fermi-level density of states ... 1.51 states/eV per atom
Total magnetization ... 12.8 μB per cell
Relative energy among the computed polymorphs ... 571 meV per atom
Calculated density ... 9.97 g cm⁻³

abc: 6.420 6.420 6.420
angles: 90.00 90.00 90.00
Space group F-43m (No. 216)
Unique sites:
Tl: 0.000 0.000 0.000 (multiplicity 4)
Co: 0.000 0.000 0.500 (multiplicity 4)
Co: 0.250 0.250 0.250 (multiplicity 4)
As: 0.250 0.250 0.750 (multiplicity 4)

***

No. 18
This record from the Alexandria database describes crystalline CsAgSe2N at its relaxed geometry. The functional is PBE.

Raw formation energy ... 66.4 kJ per mole of atoms
Energy ... -15.6 eV for the cell shown
Fermi-level density of states ... 1.02 states/eV per atom
Total magnetization ... 2.8 μB per cell
Calculated density ... 5.14 g cm⁻³

abc: 5.465 5.465 4.463
angles: 90.00 90.00 90.00
Space group P4/mmm (No. 123)
Unique sites:
Cs: 0.000 0.000 0.000 (multiplicity 1)
Ag: 0.500 0.500 0.500 (multiplicity 1)
Se: 0.000 0.500 0.500 (multiplicity 2)
N: 0.500 0.500 0.000 (multiplicity 1)

***

No. 19
This record from the Alexandria database describes crystalline Ca3Sn4Ir2 at its relaxed geometry. The functional is PBE.

Energy ... -88.9 eV for the cell shown
Fermi-level density of states ... 0.43 states/eV per atom
Total magnetization ... 0.0 μB per cell
Calculated density ... 7.17 g cm⁻³

abc: 11.169 4.736 9.133
angles: 90.00 110.19 90.00
Space group C2/m (No. 12)
Unique sites:
Ca: 0.000 0.000 0.000 (multiplicity 2)
Ca: 0.123 0.500 0.685 (multiplicity 4)
Sn: 0.118 0.000 0.424 (multiplicity 4)
Sn: 0.214 0.500 0.071 (multiplicity 4)
Ir: 0.157 0.500 0.322 (multiplicity 4)

***

No. 20
This record from the Alexandria database describes crystalline LiAgTeCl6 at its relaxed geometry. The functional is PBE.

Raw formation energy ... -79.1 kJ per mole of atoms
Energy ... -52.7 eV for the cell shown
Fermi-level density of states ... 0.00 states/eV per atom
Total magnetization ... 0.0 μB per cell
Calculated density ... 3.31 g cm⁻³

abc: 6.5624 6.5624 12.2416
angles: 90.00 90.00 120.00
Space group P-31c (No. 163)
Unique sites:
Li: 0.3333 0.6667 0.2500 (multiplicity 2)
Ag: 0.0000 0.0000 0.0000 (multiplicity 2)
Te: 0.3333 0.6667 0.7500 (multiplicity 2)
Cl: 0.0024 0.3509 0.6306 (multiplicity 12)

***

No. 21
This record from the Alexandria database describes crystalline Pr2P2RuN6 at its relaxed geometry. The functional is PBE.

Raw formation energy ... -55.2 kJ per mole of atoms
Energy ... -257.7 eV for the cell shown
Fermi-level density of states ... 0.43 states/eV per atom
Total magnetization ... 4.3 μB per cell
Calculated density ... 6.30 g cm⁻³

abc: 5.4970 5.4970 15.9788
angles: 90.00 90.00 120.00
Space group R-3m (No. 166, hexagonal axes)
Unique sites:
Pr: 0.0000 0.0000 0.2192 (multiplicity 6)
P: 0.0000 0.0000 0.4338 (multiplicity 6)
Ru: 0.0000 0.0000 0.0000 (multiplicity 3)
N: 0.0025 0.5012 0.7494 (multiplicity 18)

***

No. 22
This record from the Alexandria database describes crystalline PSe at its relaxed geometry. The functional is PBE.

Raw formation energy ... 29.5 kJ per mole of atoms
Energy ... -16.6 eV for the cell shown
Fermi-level density of states ... 0.12 states/eV per atom
Total magnetization ... 0.0 μB per cell
Relative energy among the computed polymorphs ... 386 meV per atom
Calculated density ... 3.83 g cm⁻³

abc: 3.374 3.374 8.377
angles: 90.00 90.00 90.00
Space group Pmma (No. 51)
Unique sites:
P: 0.250 0.000 0.131 (multiplicity 2)
Se: 0.250 0.500 0.760 (multiplicity 2)

***

No. 23
This record from the Alexandria database describes crystalline ThGa2Pb at its relaxed geometry. The functional is PBE.

Energy ... -53.0 eV for the cell shown
Fermi-level density of states ... 0.56 states/eV per atom
Total magnetization ... 0.0 μB per cell
Relative energy among the computed polymorphs ... 234 meV per atom
Calculated density ... 9.58 g cm⁻³

abc: 4.8586 4.8586 14.7133
angles: 90.00 90.00 120.00
Space group R-3m (No. 166, hexagonal axes)
Unique sites:
Th: 0.0000 0.0000 0.0000 (multiplicity 3)
Ga: 0.0000 0.0000 0.2304 (multiplicity 6)
Pb: 0.0000 0.0000 0.5000 (multiplicity 3)